Density functional theory data (PBE) for Pr3Ho6Tm after structural relaxation.

Cell lengths 11.550, 6.572, 9.743 Å; angles 90.00, 115.12, 90.00 degrees
Space group C2/m (No. 12)
Inequivalent atoms, fractional coordinates:
Pr 0.000 0.000 0.000 (multiplicity 2)
Pr 0.072 0.000 0.701 (multiplicity 4)
Ho 0.135 0.500 0.921 (multiplicity 4)
Ho 0.186 0.254 0.314 (multiplicity 8)
Tm 0.000 0.500 0.500 (multiplicity 2)

Calculated values
- Magnetization: 0.000 μB/cell
- V: 33.482 A^3/atom
- DFT formation energy: 227.7 meV/atom
- Relative energy among the computed polymorphs: 77 meV per atom

=====

Density functional theory data (PBE) for Pr8Ho2Tm after structural relaxation.

Cell lengths 16.927, 6.874, 6.755 Å; angles 90.00, 100.56, 90.00 degrees
Space group C2/m (No. 12)
Inequivalent atoms, fractional coordinates:
Pr 0.085 0.239 0.403 (multiplicity 8)
Pr 0.097 0.000 0.918 (multiplicity 4)
Pr 0.245 0.500 0.323 (multiplicity 4)
Ho 0.193 0.500 0.809 (multiplicity 4)
Tm 0.000 0.500 0.000 (multiplicity 2)

Calculated values
- Magnetization: 0.000 μB/cell
- V: 35.119 A^3/atom
- DFT formation energy: 167.7 meV/atom
- Relative energy among the computed polymorphs: 57 meV per atom

=====

Density functional theory data (PBE) for Pr5Ho2Tm5 after structural relaxation.

Cell lengths 15.257, 5.057, 11.365 Å; angles 90.00, 116.65, 90.00 degrees
Space group C2/m (No. 12)
Inequivalent atoms, fractional coordinates:
Pr 0.000 0.000 0.000 (multiplicity 2)
Pr 0.081 0.000 0.749 (multiplicity 4)
Pr 0.249 0.000 0.251 (multiplicity 4)
Ho 0.167 0.000 0.499 (multiplicity 4)
Tm 0.000 0.500 0.500 (multiplicity 2)
Tm 0.085 0.500 0.253 (multiplicity 4)
Tm 0.167 0.500 0.000 (multiplicity 4)

Calculated values
- Magnetization: 0.000 μB/cell
- V: 32.655 A^3/atom
- DFT formation energy: 22.9 meV/atom

=====

Density functional theory data (PBE) for PrHo6Tm5 after structural relaxation.

Cell lengths 6.102, 10.561, 11.687 Å; angles 90.00, 100.01, 90.00 degrees
Space group C2/m (No. 12)
Inequivalent atoms, fractional coordinates:
Pr 0.000 0.000 0.000 (multiplicity 2)
Ho 0.249 0.333 0.748 (multiplicity 8)
Ho 0.249 0.500 0.252 (multiplicity 4)
Tm 0.000 0.167 0.500 (multiplicity 4)
Tm 0.000 0.333 0.000 (multiplicity 4)
Tm 0.000 0.500 0.500 (multiplicity 2)

Calculated values
- Magnetization: 0.000 μB/cell
- V: 30.901 A^3/atom
- DFT formation energy: 23.1 meV/atom

=====

Density functional theory data (PBE) for Pr12Ho6Tm after structural relaxation.

Cell lengths 12.2203, 12.2203, 15.3984 Å; angles 90.00, 90.00, 120.00 degrees
Space group R-3 (No. 148, hexagonal axes)
Inequivalent atoms, fractional coordinates:
Pr 0.0009 0.8278 0.1912 (multiplicity 18)
Pr 0.0478 0.8492 0.4160 (multiplicity 18)
Ho 0.0180 0.4295 0.6879 (multiplicity 18)
Tm 0.0000 0.0000 0.0000 (multiplicity 3)

Calculated values
- Magnetization: 0.000 μB/cell
- V: 34.938 A^3/atom
- DFT formation energy: 128.4 meV/atom
- Relative energy among the computed polymorphs: 0 meV per atom

=====

Density functional theory data (PBE) for Pr10HoTm4 after structural relaxation.

Cell lengths 12.373, 12.373, 7.848 Å; angles 90.00, 90.00, 90.00 degrees
Space group I4/m (No. 87)
Inequivalent atoms, fractional coordinates:
Pr 0.000 0.500 0.250 (multiplicity 4)
Pr 0.100 0.799 0.250 (multiplicity 16)
Ho 0.000 0.000 0.000 (multiplicity 2)
Tm 0.100 0.300 0.500 (multiplicity 8)

Calculated values
- Magnetization: 0.000 μB/cell
- V: 40.051 A^3/atom
- DFT formation energy: 666.6 meV/atom

=====

Density functional theory data (PBE) for Pr4HoTm5 after structural relaxation.

Cell lengths 3.514, 8.706, 11.346 Å; angles 89.90, 90.00, 78.42 degrees
Space group P-1 (No. 2)
Inequivalent atoms, fractional coordinates:
Pr 0.033 0.433 0.249 (multiplicity 2)
Pr 0.341 0.821 0.250 (multiplicity 2)
Ho 0.500 0.500 0.500 (multiplicity 1)
Tm 0.172 0.154 0.454 (multiplicity 2)
Tm 0.172 0.155 0.045 (multiplicity 2)
Tm 0.500 0.500 0.000 (multiplicity 1)

Calculated values
- Magnetization: 0.000 μB/cell
- V: 34.007 A^3/atom
- DFT formation energy: 197.0 meV/atom
- Relative energy among the computed polymorphs: 0 meV per atom

=====

Density functional theory data (PBE) for Pr5Ho6Tm after structural relaxation.

Cell lengths 6.199, 7.238, 9.536 Å; angles 112.23, 90.78, 90.04 degrees
Space group P-1 (No. 2)
Inequivalent atoms, fractional coordinates:
Pr 0.000 0.000 0.000 (multiplicity 1)
Pr 0.330 0.335 0.670 (multiplicity 2)
Pr 0.335 0.833 0.666 (multiplicity 2)
Ho 0.167 0.416 0.331 (multiplicity 2)
Ho 0.167 0.915 0.331 (multiplicity 2)
Ho 0.500 0.252 0.000 (multiplicity 2)
Tm 0.000 0.500 0.000 (multiplicity 1)

Calculated values
- Magnetization: 0.000 μB/cell
- V: 32.997 A^3/atom
- DFT formation energy: 21.9 meV/atom

=====

Density functional theory data (PBE) for Pr5Ho2Tm12 after structural relaxation.

Cell lengths 18.274, 7.018, 10.337 Å; angles 90.00, 111.20, 90.00 degrees
Space group C2/m (No. 12)
Inequivalent atoms, fractional coordinates:
Pr 0.000 0.000 0.000 (multiplicity 2)
Pr 0.182 0.500 0.710 (multiplicity 4)
Pr 0.187 0.000 0.681 (multiplicity 4)
Ho 0.000 0.272 0.500 (multiplicity 4)
Tm 0.002 0.500 0.176 (multiplicity 4)
Tm 0.024 0.000 0.746 (multiplicity 4)
Tm 0.157 0.247 0.368 (multiplicity 8)
Tm 0.163 0.253 0.020 (multiplicity 8)

Calculated values
- Magnetization: 0.001 μB/cell
- V: 32.529 A^3/atom
- DFT formation energy: 183.1 meV/atom
- Relative energy among the computed polymorphs: 113 meV per atom

=====

Density functional theory data (PBE) for Pr7Ho3Tm after structural relaxation.

Cell lengths 12.865, 11.464, 5.946 Å; angles 90.00, 117.47, 90.00 degrees
Space group C2/m (No. 12)
Inequivalent atoms, fractional coordinates:
Pr 0.000 0.000 0.000 (multiplicity 2)
Pr 0.191 0.288 0.691 (multiplicity 8)
Pr 0.209 0.500 0.208 (multiplicity 4)
Ho 0.000 0.295 0.000 (multiplicity 4)
Ho 0.000 0.500 0.500 (multiplicity 2)
Tm 0.000 0.000 0.500 (multiplicity 2)

Calculated values
- Magnetization: 0.000 μB/cell
- V: 35.367 A^3/atom
- DFT formation energy: 223.5 meV/atom
- Relative energy among the computed polymorphs: 38 meV per atom

=====

Density functional theory data (PBE) for Pr4HoTm5 after structural relaxation.

Cell lengths 10.722, 10.722, 5.912 Å; angles 90.00, 90.00, 90.00 degrees
Space group I4mm (No. 107)
Inequivalent atoms, fractional coordinates:
Pr 0.000 0.323 0.000 (multiplicity 8)
Ho 0.000 0.000 0.245 (multiplicity 2)
Tm 0.000 0.000 0.765 (multiplicity 2)
Tm 0.188 0.188 0.506 (multiplicity 8)

Calculated values
- Magnetization: 0.000 μB/cell
- V: 33.984 A^3/atom
- DFT formation energy: 234.1 meV/atom
- Relative energy among the computed polymorphs: 37 meV per atom

=====

Density functional theory data (PBE) for PrHo3Tm3 after structural relaxation.

Cell lengths 10.6914, 10.6914, 7.0084 Å; angles 90.00, 90.00, 120.00 degrees
Space group R3m (No. 160, hexagonal axes)
Inequivalent atoms, fractional coordinates:
Pr 0.0000 0.0000 0.0000 (multiplicity 3)
Ho 0.1956 0.3912 0.3787 (multiplicity 9)
Tm 0.1834 0.3669 0.8996 (multiplicity 9)

Calculated values
- Magnetization: 0.000 μB/cell
- V: 33.037 A^3/atom
- DFT formation energy: 293.7 meV/atom
- Relative energy among the computed polymorphs: 78 meV per atom